# Sc6Al16Rh7 (PBE-GGA, optimized geometry)
data_Sc6Al16Rh7
_symmetry_space_group_name_H-M 'F m -3 m'
_symmetry_Int_Tables_number 225
_symmetry_space_group_name_Hall '-F 4 2 3'
_cell_length_a 12.361
_cell_length_b 12.361
_cell_length_c 12.361
_cell_angle_alpha 90.00
_cell_angle_beta 90.00
_cell_angle_gamma 90.00
loop_
_atom_site_label
_atom_site_fract_x
_atom_site_fract_y
_atom_site_fract_z
Sc1 0.000 0.000 0.204
Al1 0.120 0.120 0.380
Al2 0.166 0.166 0.166
Rh1 0.000 0.000 0.500
Rh2 0.000 0.250 0.250
# Volume = 16.28 A^3/atom
# Crystal system = cubic
# Energy relative to the elements = -0.8340 eV/atom

=====

# ScAl4Rh (PBE-GGA, optimized geometry)
data_ScAl4Rh
_symmetry_space_group_name_H-M 'C 1 2/m 1'
_symmetry_Int_Tables_number 12
_symmetry_space_group_name_Hall '-C 2y'
_cell_length_a 9.162
_cell_length_b 9.164
_cell_length_c 6.937
_cell_angle_alpha 90.00
_cell_angle_beta 130.98
_cell_angle_gamma 90.00
loop_
_atom_site_label
_atom_site_fract_x
_atom_site_fract_y
_atom_site_fract_z
Sc1 0.250 0.250 0.000
Al1 0.004 0.000 0.307
Al2 0.154 0.350 0.308
Al3 0.195 0.500 0.692
Rh1 0.000 0.250 0.500
# Volume = 18.32 A^3/atom
# Crystal system = monoclinic
# Energy relative to the elements = -0.4220 eV/atom

=====

# ScAl2Rh3 (PBE-GGA, optimized geometry)
data_ScAl2Rh3
_symmetry_space_group_name_H-M 'P 4/m m m'
_symmetry_Int_Tables_number 123
_symmetry_space_group_name_Hall '-P 4 2'
_cell_length_a 3.085
_cell_length_b 3.085
_cell_length_c 9.218
_cell_angle_alpha 90.00
_cell_angle_beta 90.00
_cell_angle_gamma 90.00
loop_
_atom_site_label
_atom_site_fract_x
_atom_site_fract_y
_atom_site_fract_z
Sc1 0.000 0.000 0.000
Al1 0.000 0.000 0.339
Rh1 0.500 0.500 0.182
Rh2 0.500 0.500 0.500
# Volume = 14.62 A^3/atom
# Crystal system = tetragonal
# Energy relative to the elements = -1.0547 eV/atom
# Polymorph energy (0 for the lowest one) = 0.036 eV/atom

=====

Number 1 is which compound?
Sc6Al16Rh7